# Fe2IrF2

A geometry-optimized Fe2IrF2 structure (GGA+U, Alexandria via LeMat-Bulk).

Output
- energy relative to the lowest polymorph listed for this composition (meV per atom) = 350
- magnetization (μB per cell) = 15.8

Unit cell a=7.130 b=7.130 c=2.588 alpha=90.00 beta=90.00 gamma=90.00
Site moments in Bohr magnetons follow the coordinates.
Sites, in units of the cell vectors:
F 0.885 0.385 0.500  0.07
Fe 0.659 0.159 0.000  3.72
F 0.615 0.885 0.500  0.07
Fe 0.341 0.841 0.000  3.72
F 0.115 0.615 0.500  0.07
Fe 0.159 0.341 0.000  3.72
Ir 0.000 0.000 0.000  0.17
F 0.385 0.115 0.500  0.07
Fe 0.841 0.659 0.000  3.72
Ir 0.500 0.500 0.000  0.17


# FeIrF3

A geometry-optimized FeIrF3 structure (GGA+U, Alexandria via LeMat-Bulk).

Output
- energy relative to the lowest polymorph listed for this composition (meV per atom) = 0
- magnetization (μB per cell) = 6.4

Unit cell a=4.064 b=4.064 c=4.064 alpha=90.00 beta=90.00 gamma=90.00
Site moments in Bohr magnetons follow the coordinates.
Sites, in units of the cell vectors:
F 0.500 0.000 0.000  0.14
Fe 0.000 0.000 0.000  4.17
F 0.000 0.000 0.500  0.06
F 0.000 0.500 0.000  0.12
Ir 0.500 0.500 0.500  1.85


# LaFeIrF2

A geometry-optimized LaFeIrF2 structure (GGA+U, Alexandria via LeMat-Bulk).

Output
- magnetization (μB per cell) = 4.1

Unit cell a=4.423 b=5.922 c=4.423 alpha=90.00 beta=90.00 gamma=90.00
Site moments in Bohr magnetons follow the coordinates.
Sites, in units of the cell vectors:
F 0.500 0.000 0.000  0.00
La 0.000 0.000 0.000  0.00
Fe 0.500 0.500 0.500  3.85
F 0.000 0.000 0.500  0.00
Ir 0.000 0.500 0.000  0.13


# LaFeIr2F

A geometry-optimized LaFeIr2F structure (GGA+U, Alexandria via LeMat-Bulk).

Output
- magnetization (μB per cell) = 1.4

Unit cell a=4.898 b=5.857 c=4.898 alpha=90.00 beta=90.00 gamma=90.00
Site moments in Bohr magnetons follow the coordinates.
Sites, in units of the cell vectors:
Fe 0.000 0.500 0.000  0.93
Ir 0.500 0.000 0.000  0.20
Ir 0.000 0.000 0.500  0.24
F 0.500 0.500 0.500  0.00
La 0.000 0.000 0.000  -0.01


# NaFeIr2F

A geometry-optimized NaFeIr2F structure (GGA+U, Alexandria via LeMat-Bulk).

Output
- magnetization (μB per cell) = 4.9

Unit cell a=4.440 b=4.133 c=4.440 alpha=90.00 beta=90.00 gamma=90.00
Site moments in Bohr magnetons follow the coordinates.
Sites, in units of the cell vectors:
Na 0.500 0.500 0.500  -0.01
Ir 0.000 0.000 0.500  0.56
Fe 0.000 0.500 0.000  3.83
F 0.000 0.000 0.000  0.07
Ir 0.500 0.000 0.000  0.49


# FeIrO2F

A geometry-optimized FeIrO2F structure (GGA+U, Alexandria via LeMat-Bulk).

Output
- magnetization (μB per cell) = 2.0

Unit cell a=3.986 b=3.986 c=3.803 alpha=90.00 beta=90.00 gamma=90.00
Site moments in Bohr magnetons follow the coordinates.
Sites, in units of the cell vectors:
O 0.500 0.000 0.000  -0.05
F 0.000 0.000 0.500  0.09
Ir 0.500 0.500 0.500  -2.33
Fe 0.000 0.000 0.000  4.43
O 0.000 0.500 0.000  -0.05


# FeIrOF2

A geometry-optimized FeIrOF2 structure (GGA+U, Alexandria via LeMat-Bulk).

Output
- energy relative to the lowest polymorph listed for this composition (meV per atom) = 47
- magnetization (μB per cell) = 7.1

Unit cell a=3.931 b=3.931 c=4.106 alpha=90.00 beta=90.00 gamma=90.00
Site moments in Bohr magnetons follow the coordinates.
Sites, in units of the cell vectors:
F 0.000 0.500 0.000  0.12
O 0.000 0.000 0.500  0.28
Fe 0.000 0.000 0.000  4.35
Ir 0.500 0.500 0.500  2.06
F 0.500 0.000 0.000  0.12


# FeIrOF2

A geometry-optimized FeIrOF2 structure (GGA+U, Alexandria via LeMat-Bulk).

Output
- energy relative to the lowest polymorph listed for this composition (meV per atom) = 0
- magnetization (μB per cell) = 4.5

Unit cell a=4.492 b=4.492 c=3.728 alpha=90.00 beta=90.00 gamma=90.00
Site moments in Bohr magnetons follow the coordinates.
Sites, in units of the cell vectors:
Fe 0.500 0.500 0.500  4.09
Ir 0.000 0.000 0.000  -0.09
F 0.500 0.000 0.000  0.04
O 0.000 0.000 0.500  0.01
F 0.000 0.500 0.000  0.04


# FeIrO2F

A geometry-optimized FeIrO2F structure (GGA+U, Alexandria via LeMat-Bulk).

Output
- magnetization (μB per cell) = 3.7

Unit cell a=3.819 b=3.819 c=4.622 alpha=90.00 beta=90.00 gamma=90.00
Site moments in Bohr magnetons follow the coordinates.
Sites, in units of the cell vectors:
Ir 0.000 0.000 0.000  0.22
Fe 0.500 0.500 0.500  3.18
O 0.000 0.500 0.000  0.09
F 0.000 0.000 0.500  0.01
O 0.500 0.000 0.000  0.09


# Rb2FeIrF6

A geometry-optimized Rb2FeIrF6 structure (GGA+U, Alexandria via LeMat-Bulk).

Output
- magnetization (μB per cell) = 5.6

Unit cell a=6.193 b=6.193 c=6.071 alpha=59.34 beta=59.34 gamma=90.00
Site moments in Bohr magnetons follow the coordinates.
Sites, in units of the cell vectors:
F 0.249 0.249 0.502  0.03
Fe 0.500 0.500 0.000  3.98
F 0.733 0.267 0.000  0.06
Rb 0.250 0.750 0.500  0.00
Ir 0.000 0.000 0.000  1.24
F 0.733 0.733 0.000  0.06
F 0.267 0.733 0.000  0.06
F 0.267 0.267 0.000  0.06
Rb 0.750 0.250 0.500  0.00
F 0.751 0.751 0.498  0.03


# FeTe2IrF

A geometry-optimized FeTe2IrF structure (GGA+U, Alexandria via LeMat-Bulk).

Output
- magnetization (μB per cell) = 3.3

Unit cell a=5.247 b=3.740 c=5.247 alpha=90.00 beta=90.00 gamma=90.00
Site moments in Bohr magnetons follow the coordinates.
Sites, in units of the cell vectors:
Te 0.000 0.000 0.500  -0.14
Ir 0.500 0.500 0.500  -0.04
F 0.000 0.000 0.000  0.00
Fe 0.000 0.500 0.000  3.69
Te 0.500 0.000 0.000  -0.09


# ZnFe2IrF

A geometry-optimized ZnFe2IrF structure (GGA+U, Alexandria via LeMat-Bulk).

Output
- magnetization (μB per cell) = 7.6

Unit cell a=4.987 b=4.094 c=4.987 alpha=90.00 beta=90.00 gamma=90.00
Site moments in Bohr magnetons follow the coordinates.
Sites, in units of the cell vectors:
Ir 0.000 0.000 0.000  0.18
F 0.000 0.500 0.000  -0.01
Zn 0.500 0.500 0.500  -0.01
Fe 0.000 0.000 0.500  3.59
Fe 0.500 0.000 0.000  3.72


# KFe2F8

A geometry-optimized KFe2F8 structure (GGA+U, Alexandria via LeMat-Bulk).

Output
- energy relative to the lowest polymorph listed for this composition (meV per atom) = 0
- magnetization (μB per cell) = 9.0

Unit cell a=5.627 b=6.110 c=6.110 alpha=60.23 beta=95.25 gamma=95.25
Site moments in Bohr magnetons follow the coordinates.
Sites, in units of the cell vectors:
K 0.000 0.000 0.000  0.00
F 0.371 0.926 0.365  0.09
F 0.371 0.365 0.926  0.09
F 0.732 0.632 0.632  0.04
Fe 0.517 0.273 0.273  4.20
F 0.204 0.799 0.799  0.03
F 0.796 0.201 0.201  0.03
F 0.629 0.074 0.635  0.09
Fe 0.483 0.727 0.727  4.20
F 0.268 0.368 0.368  0.04
F 0.629 0.635 0.074  0.09


# KFeF3

A geometry-optimized KFeF3 structure (GGA+U, Alexandria via LeMat-Bulk).

Output
- magnetization (μB per cell) = 16.0

Unit cell a=3.292 b=7.850 c=11.297 alpha=90.00 beta=90.00 gamma=90.00
Site moments in Bohr magnetons follow the coordinates.
Sites, in units of the cell vectors:
Fe 0.250 0.500 0.750  3.81
F 0.750 0.750 0.306  0.05
K 0.250 0.750 0.499  0.00
F 0.750 0.250 0.194  0.05
F 0.250 0.543 0.131  0.04
F 0.750 0.957 0.631  0.04
K 0.250 0.250 0.001  0.00
F 0.250 0.043 0.369  0.04
F 0.750 0.457 0.869  0.04
F 0.750 0.543 0.631  0.04
F 0.250 0.957 0.131  0.04
F 0.250 0.457 0.369  0.04
Fe 0.750 0.000 0.250  3.81
Fe 0.250 0.000 0.750  3.81
F 0.250 0.250 0.694  0.05
Fe 0.750 0.500 0.250  3.81
F 0.750 0.043 0.869  0.04
F 0.250 0.750 0.806  0.05
K 0.750 0.750 0.999  0.00
K 0.750 0.250 0.501  0.00


# KFe3F9

A geometry-optimized KFe3F9 structure (GGA+U, Alexandria via LeMat-Bulk).

Output
- magnetization (μB per cell) = 28.0

Unit cell a=7.838 b=5.846 c=8.263 alpha=87.36 beta=90.00 gamma=90.00
Site moments in Bohr magnetons follow the coordinates.
Sites, in units of the cell vectors:
K 0.750 0.970 0.434  0.00
Fe 0.500 0.000 0.000  4.50
Fe 0.000 0.000 0.000  4.50
K 0.250 0.030 0.566  0.00
F 0.967 0.172 0.195  0.11
F 0.027 0.716 0.481  0.08
F 0.750 0.530 0.301  0.10
F 0.033 0.828 0.805  0.11
F 0.250 0.470 0.699  0.10
Fe 0.002 0.475 0.306  4.20
Fe 0.998 0.525 0.694  4.20
F 0.750 0.592 0.685  0.11
F 0.527 0.284 0.519  0.08
F 0.533 0.172 0.195  0.11
F 0.250 0.408 0.315  0.11
Fe 0.502 0.525 0.694  4.20
F 0.750 0.945 0.995  0.13
F 0.473 0.716 0.481  0.08
F 0.973 0.284 0.519  0.08
F 0.030 0.716 0.131  0.11
F 0.467 0.828 0.805  0.11
F 0.970 0.284 0.869  0.11
F 0.250 0.055 0.005  0.13
F 0.470 0.716 0.131  0.11
Fe 0.498 0.475 0.306  4.20
F 0.530 0.284 0.869  0.11


# K2FeF

A geometry-optimized K2FeF structure (GGA+U, Alexandria via LeMat-Bulk).

Output
- magnetization (μB per cell) = 3.0

Unit cell a=5.541 b=5.541 c=5.541 alpha=60.00 beta=60.00 gamma=60.00
Site moments in Bohr magnetons follow the coordinates.
Sites, in units of the cell vectors:
F 0.000 0.000 0.000  -0.01
K 0.250 0.250 0.250  -0.02
K 0.750 0.750 0.750  -0.02
Fe 0.500 0.500 0.500  3.15


# K6FeF12

A geometry-optimized K6FeF12 structure (GGA+U, Alexandria via LeMat-Bulk).

Output
- magnetization (μB per cell) = 8.0

Unit cell a=7.254 b=7.254 c=7.254 alpha=98.94 beta=98.94 gamma=98.94
Site moments in Bohr magnetons follow the coordinates.
Sites, in units of the cell vectors:
F 0.932 0.731 0.024  0.08
F 0.435 0.514 0.871  0.45
F 0.129 0.565 0.486  0.45
Fe 0.000 0.000 0.000  4.46
F 0.068 0.269 0.976  0.08
F 0.514 0.871 0.435  0.45
F 0.871 0.435 0.514  0.45
F 0.976 0.068 0.269  0.08
K 0.243 0.612 0.157  0.00
K 0.157 0.243 0.612  0.00
K 0.612 0.157 0.243  0.00
K 0.843 0.757 0.388  0.00
K 0.388 0.843 0.757  0.00
F 0.269 0.976 0.068  0.08
K 0.757 0.388 0.843  0.00
F 0.565 0.486 0.129  0.45
F 0.486 0.129 0.565  0.45
F 0.731 0.024 0.932  0.08
F 0.024 0.932 0.731  0.08


# KFe2F6

A geometry-optimized KFe2F6 structure (GGA+U, Alexandria via LeMat-Bulk).

Output
- energy relative to the lowest polymorph listed for this composition (meV per atom) = 11
- magnetization (μB per cell) = 9.0

Unit cell a=5.479 b=5.479 c=5.623 alpha=90.00 beta=90.00 gamma=120.00
Site moments in Bohr magnetons follow the coordinates.
Sites, in units of the cell vectors:
F 0.624 0.000 0.309  0.09
F 0.624 0.624 0.691  0.09
F 0.000 0.624 0.309  0.09
Fe 0.333 0.667 0.500  4.18
F 0.000 0.376 0.691  0.09
F 0.376 0.000 0.691  0.09
K 0.000 0.000 0.000  0.00
F 0.376 0.376 0.309  0.09
Fe 0.667 0.333 0.500  4.18


# K2FeF6

A geometry-optimized K2FeF6 structure (GGA+U, Alexandria via LeMat-Bulk).

Output
- magnetization (μB per cell) = 4.0

Unit cell a=5.882 b=6.976 c=7.531 alpha=90.00 beta=90.00 gamma=107.45
Site moments in Bohr magnetons follow the coordinates.
Sites, in units of the cell vectors:
F 0.620 0.951 0.287  -0.02
F 0.228 0.019 0.388  -0.03
F 0.728 0.519 0.112  -0.03
K 0.134 0.317 0.571  0.00
F 0.867 0.229 0.970  -0.02
Fe 0.500 0.000 0.500  2.14
F 0.633 0.271 0.470  -0.02
F 0.367 0.729 0.530  -0.02
F 0.133 0.771 0.030  -0.02
K 0.634 0.817 0.929  0.00
K 0.866 0.683 0.429  0.00
Fe 0.000 0.500 0.000  2.14
F 0.772 0.981 0.612  -0.03
F 0.880 0.549 0.787  -0.02
F 0.120 0.451 0.213  -0.02
K 0.366 0.183 0.071  0.00
F 0.272 0.481 0.888  -0.03
F 0.380 0.049 0.713  -0.02


# KFe2F6

A geometry-optimized KFe2F6 structure (GGA+U, Alexandria via LeMat-Bulk).

Output
- energy relative to the lowest polymorph listed for this composition (meV per atom) = 0
- magnetization (μB per cell) = 45.0

Unit cell a=12.833 b=12.833 c=4.030 alpha=90.00 beta=90.00 gamma=90.00
Site moments in Bohr magnetons follow the coordinates.
Sites, in units of the cell vectors:
F 0.926 0.797 0.000  0.12
Fe 0.000 0.500 0.500  4.04
K 0.345 0.190 0.000  0.00
Fe 0.577 0.284 0.500  3.92
F 0.138 0.067 0.500  0.12
Fe 0.284 0.423 0.500  3.92
F 0.711 0.583 0.000  0.06
F 0.732 0.210 0.500  0.10
F 0.000 0.500 0.000  0.08
F 0.797 0.074 0.000  0.12
Fe 0.500 0.000 0.500  4.04
F 0.268 0.790 0.500  0.10
F 0.210 0.268 0.500  0.10
F 0.933 0.138 0.500  0.12
F 0.500 0.000 0.000  0.08
F 0.335 0.003 0.500  0.12
F 0.003 0.665 0.500  0.12
F 0.427 0.356 0.500  0.05
F 0.203 0.926 0.000  0.12
F 0.862 0.933 0.500  0.12
F 0.155 0.512 0.500  0.06
F 0.790 0.732 0.500  0.10
K 0.655 0.810 0.000  0.00
Fe 0.072 0.205 0.500  4.50
F 0.997 0.335 0.500  0.12
F 0.356 0.573 0.500  0.05
Fe 0.205 0.928 0.500  4.50
F 0.644 0.427 0.500  0.05
Fe 0.928 0.795 0.500  4.50
F 0.665 0.997 0.500  0.12
K 0.500 0.500 0.000  0.00
F 0.417 0.711 0.000  0.06
K 0.190 0.655 0.000  0.00
F 0.573 0.644 0.500  0.05
Fe 0.795 0.072 0.500  4.50
Fe 0.423 0.716 0.500  3.92
F 0.845 0.488 0.500  0.06
F 0.074 0.203 0.000  0.12
F 0.583 0.289 0.000  0.06
Fe 0.716 0.577 0.500  3.92
F 0.289 0.417 0.000  0.06
K 0.810 0.345 0.000  0.00
F 0.067 0.862 0.500  0.12
F 0.488 0.155 0.500  0.06
F 0.512 0.845 0.500  0.06


Across the entries above, DOS at the Fermi energy takes the values 1.88; 7.33; 1.29; 5.04; 4.54; 4.68; 4.78; 2.97; 4.81; 10.56; 4.29; 1.88; 5.04; 0.00; 5.41; 5.72; 5.57; 5.68; 0.00; 9.25 states/eV/cell, respectively.
Across the entries above, VASP energy takes the values -53.388; -22.824; -29.694; -20.743; -21.824; -26.961; -25.107; -25.339; -27.802; -46.597; -20.793; -20.688; -52.121; -101.551; -135.392; -10.084; -78.708; -46.568; -80.638; -233.315 eV for the cell shown, respectively.